NdYAs2O8 | GGA-PBE | relaxed

Results
As for the space group: I-4, No. 82. Its density of states at the Fermi level is 0.00 states/eV/atom. As for the uncorrected formation energy: -2.3235 eV/atom. The calculation puts the total energy at -0.53947 Ry per atom. As for the calculated density: 5.61 g cm⁻³. Its crystal system is tetragonal.

Lattice parameters (Å, degrees): 5.1146 5.1146 6.8190 112.03 112.03 90.00
Fractional positions:
Nd: 0.7500 0.2500 0.5000
As: 0.5000 0.5000 0.0000
O: 0.7251 0.8263 0.1531
O: 0.4280 0.3268 0.1531
O: 0.1737 0.5720 0.8469
O: 0.0317 0.4200 0.3403
As: 0.2500 0.7500 0.5000
O: 0.3086 0.9203 0.3403
O: 0.5800 0.6914 0.6597
O: 0.6732 0.2749 0.8469
Y: 0.0000 0.0000 0.0000
O: 0.0797 0.9683 0.6597